# 1
Here is an optimized crystal structure of GaGePbAu2 from Alexandria via LeMat-Bulk. Energies are from PBE-GGA.

abc: 5.4301 5.4301 5.4450
angles: 90.00 90.00 90.00
Last column: nearest neighbours and their distance in Å.
Space group P4/mmm (No. 123)
Symmetry-distinct sites (fractional):
Ga 0.0000 0.0000 0.0000  2 Pb 2.72
Ge 0.5000 0.5000 0.0000  4 Ga 3.84, 8 Au 3.84
Pb 0.0000 0.0000 0.5000  4 Au 2.72, 2 Ga 2.72
Au 0.0000 0.5000 0.5000  2 Pb 2.72

Calculated values
**E_tot**: -0.101 hartree per atom
**ρ**: 7.69 g cm⁻³
**Spin magnetization**: 0.000 μB per formula unit
**Calculated formation energy**: 0.8463 eV per atom

***

# 2
Here is an optimized crystal structure of K2SbRu from Alexandria via LeMat-Bulk. Energies are from PBE-GGA.

abc: 3.3292 3.3292 34.6930
angles: 90.00 90.00 120.00
Last column: nearest neighbours and their distance in Å.
Space group R-3m (No. 166, hexagonal axes)
Symmetry-distinct sites (fractional):
K 0.0000 0.0000 0.2465  6 K 3.33, 3 Ru 3.37, 3 Sb 3.57
Sb 0.0000 0.0000 0.0000  6 Sb 3.33, 6 K 3.57
Ru 0.0000 0.0000 0.5000  6 Ru 3.33, 6 K 3.37

Calculated values
**E_form (uncorrected)**: 814 meV per atom
**E_tot**: -0.113 hartree per atom
**ρ**: 4.50 g cm⁻³
**Spin magnetization**: 1.772 μB per formula unit

***

# 3
Here is an optimized crystal structure of Ho5Te2Ru2 from Alexandria via LeMat-Bulk. Energies are from PBE-GGA.

abc: 15.6818 7.7239 7.6787
angles: 90.00 90.00 90.00
Last column: nearest neighbours and their distance in Å.
Space group Cmce (No. 64)
Symmetry-distinct sites (fractional):
Ho 0.0000 0.0000 0.0000  4 Ru 2.99-3.00, 2 Te 3.31
Ho 0.1160 0.1616 0.3406  3 Ru 2.87-2.94
Te 0.2109 0.0000 0.0000  7 Ho 3.23-3.31
Ru 0.0000 0.1368 0.6348  8 Ho 2.87-3.00, 1 Ru 2.96

Calculated values
**E_form (uncorrected)**: -814 meV per atom
**E_tot**: -0.225 hartree per atom
**ρ**: 9.16 g cm⁻³
**Spin magnetization**: 0.000 μB per formula unit

***

# 4
Here is an optimized crystal structure of AcCdPd3 from Alexandria via LeMat-Bulk. Energies are from PBE-GGA.

abc: 4.3229 4.3229 12.1513
angles: 90.00 90.00 90.00
Last column: nearest neighbours and their distance in Å.
Space group I4mm (No. 107)
Symmetry-distinct sites (fractional):
Ac 0.0000 0.0000 0.0000  8 Pd 3.12-3.19
Cd 0.0000 0.0000 0.6682  5 Pd 2.66-2.74
Pd 0.0000 0.0000 0.4493  1 Cd 2.66, 4 Pd 2.77
Pd 0.0000 0.5000 0.3069  2 Cd 2.74, 6 Pd 2.77-3.06

Calculated values
**E_tot**: -0.172 hartree per atom
**ρ**: 9.63 g cm⁻³
**Spin magnetization**: 0.000 μB per formula unit
**Calculated formation energy**: -0.5631 eV per atom

***

# 5
Here is an optimized crystal structure of Zn2Ag2Au from Alexandria via LeMat-Bulk. Energies are from PBE-GGA.

abc: 6.9968 6.9968 3.4686
angles: 90.00 90.00 90.00
Last column: nearest neighbours and their distance in Å.
Space group P4/mbm (No. 127)
Symmetry-distinct sites (fractional):
Zn 0.1362 0.3638 0.0000  6 Ag 2.66-2.71, 1 Zn 2.70, 2 Au 2.72
Ag 0.1602 0.6602 0.5000  6 Zn 2.66-2.71
Au 0.0000 0.0000 0.0000  4 Zn 2.72

Calculated values
**E_tot**: -0.086 hartree per atom
**ρ**: 10.63 g cm⁻³
**Spin magnetization**: 0.000 μB per formula unit
**Calculated formation energy**: -0.0270 eV per atom

***

# 6
Here is an optimized crystal structure of SrMgZr2 from Alexandria via LeMat-Bulk. Energies are from PBE-GGA.

abc: 3.2279 5.5900 6.1107
angles: 90.00 98.24 90.00
Last column: nearest neighbours and their distance in Å.
Space group P2/m (No. 10)
Symmetry-distinct sites (fractional):
Sr 0.0000 0.0000 0.0000  2 Sr 3.23, 2 Mg 3.24, 4 Zr 3.51
Mg 0.5000 0.0000 0.5000  4 Zr 3.19, 2 Mg 3.23, 2 Sr 3.24
Zr 0.2972 0.5000 0.7113  4 Zr 2.99-3.23, 2 Mg 3.19

Calculated values
**E_tot**: -0.173 hartree per atom
**ρ**: 4.48 g cm⁻³
**Spin magnetization**: 0.000 μB per formula unit
**Calculated formation energy**: 0.3732 eV per atom

***

# 7
Here is an optimized crystal structure of La5Ni2Pd5 from Alexandria via LeMat-Bulk. Energies are from PBE-GGA.

abc: 15.6304 4.0682 11.5247
angles: 90.00 130.12 90.00
Last column: nearest neighbours and their distance in Å.
Space group C2/m (No. 12)
Symmetry-distinct sites (fractional):
La 0.0000 0.0000 0.0000  4 Ni 3.01, 6 Pd 3.25-3.35
La 0.1051 0.0000 0.4141  2 Ni 2.99, 7 Pd 3.04-3.25
La 0.2006 0.0000 0.8205  5 Pd 2.96-3.06, 1 Ni 3.18
Ni 0.1339 0.5000 0.2509  3 Pd 2.58-2.63
Pd 0.0000 0.5000 0.5000  2 Pd 2.87, 4 La 3.15
Pd 0.0748 0.5000 0.8594  1 Ni 2.63
Pd 0.2375 0.5000 0.6697  2 Ni 2.58, 1 Pd 2.87

Calculated values
**E_tot**: -0.215 hartree per atom
**ρ**: 7.97 g cm⁻³
**Spin magnetization**: 0.000 μB per formula unit
**Calculated formation energy**: -0.6782 eV per atom

***

# 8
Here is an optimized crystal structure of LaZn2Pd2 from Alexandria via LeMat-Bulk. Energies are from PBE-GGA.

abc: 7.7626 7.7626 3.0126
angles: 90.00 90.00 90.00
Last column: nearest neighbours and their distance in Å.
Space group P4/mbm (No. 127)
Symmetry-distinct sites (fractional):
La 0.0000 0.0000 0.0000  2 La 3.01, 4 Zn 3.13, 8 Pd 3.22
Zn 0.1138 0.3862 0.0000  1 Zn 2.50, 6 Pd 2.70-2.79
Pd 0.1817 0.6817 0.5000  6 Zn 2.70-2.79, 2 Pd 3.01

Calculated values
**E_tot**: -0.150 hartree per atom
**ρ**: 8.83 g cm⁻³
**Spin magnetization**: 0.000 μB per formula unit
**Calculated formation energy**: -0.5031 eV per atom

***

# 9
Here is an optimized crystal structure of Ag4IrSe from Alexandria via LeMat-Bulk. Energies are from PBE-GGA.

abc: 7.6335 7.6335 7.6335
angles: 90.00 90.00 90.00
Last column: nearest neighbours and their distance in Å.
Space group F-43m (No. 216)
Symmetry-distinct sites (fractional):
Ag 0.1255 0.1255 0.1255  6 Ag 2.69-2.71
Ir 0.0000 0.0000 0.5000  12 Ag 3.16, 4 Se 3.31
Se 0.2500 0.2500 0.7500  12 Ag 3.17, 4 Ir 3.31

Calculated values
**E_form (uncorrected)**: 631 meV per atom
**E_tot**: -0.122 hartree per atom
**ρ**: 10.49 g cm⁻³
**Spin magnetization**: 0.001 μB per formula unit

***

# 10
Here is an optimized crystal structure of AgMoAs2 from Alexandria via LeMat-Bulk. Energies are from PBE-GGA.

abc: 2.9532 2.9532 31.3379
angles: 90.00 90.00 120.00
Last column: nearest neighbours and their distance in Å.
Space group R3m (No. 160, hexagonal axes)
Symmetry-distinct sites (fractional):
Ag 0.0000 0.0000 0.0000  3 As 2.85, 3 Mo 2.94, 6 Ag 2.95
Mo 0.0000 0.0000 0.7432  3 As 2.62
As 0.0000 0.0000 0.2605  3 Ag 2.85, 6 As 2.95
As 0.0000 0.0000 0.4732  3 Mo 2.62

Calculated values
**E_tot**: -0.199 hartree per atom
**ρ**: 7.44 g cm⁻³
**Spin magnetization**: 0.065 μB per formula unit
**Calculated formation energy**: 0.3268 eV per atom

***

# 11
Here is an optimized crystal structure of Tl4As5 from Alexandria via LeMat-Bulk. Energies are from PBE-GGA.

abc: 13.2049 13.2049 3.5989
angles: 90.00 90.00 90.00
Last column: nearest neighbours and their distance in Å.
Space group I4/mmm (No. 139)
Symmetry-distinct sites (fractional):
Tl 0.0000 0.2269 0.0000  5 As 3.00-3.27
As 0.0000 0.0000 0.0000  4 Tl 3.00
As 0.2060 0.2060 0.5000  2 As 2.44

Calculated values
**E_tot**: -0.129 hartree per atom
**ρ**: 6.31 g cm⁻³
**Spin magnetization**: 0.000 μB per formula unit
**Calculated formation energy**: 0.1282 eV per atom

***

# 12
Here is an optimized crystal structure of U2VGa from Alexandria via LeMat-Bulk. Energies are from PBE-GGA.

abc: 4.7973 4.7973 11.9917
angles: 90.00 90.00 120.00
Last column: nearest neighbours and their distance in Å.
Space group R-3m (No. 166, hexagonal axes)
Symmetry-distinct sites (fractional):
U 0.0000 0.0000 0.2472  4 V 2.93-3.03, 4 Ga 2.96
V 0.0000 0.0000 0.5000  8 U 2.93-3.03
Ga 0.0000 0.0000 0.0000  8 U 2.96

Calculated values
**E_tot**: -0.304 hartree per atom
**ρ**: 12.44 g cm⁻³
**Spin magnetization**: 2.791 μB per formula unit
**Calculated formation energy**: 0.4108 eV per atom

***

What is the formula in the sixth record? SrMgZr2

***

Which value of spin magnetization does entry 1 give? 0.000 μB per formula unit